TaNiGe3 | Alexandria | PBE-GGA | relaxed; magnetic moment = 0.0 Bohr magnetons per cell; space-group type = Pm-3m, No. 221; calculated formation energy = 3.721 eV/f.u.
1.0
4.518 0.000 0.000
0.000 4.518 0.000
0.000 0.000 4.518
Ge Ta Ni
3 1 1
direct
0.000 0.000 0.500 Ge
0.000 0.500 0.000 Ge
0.500 0.000 0.000 Ge
0.500 0.500 0.500 Ta
0.000 0.000 0.000 Ni